Density functional theory data (GGA-PBEsol) for a relaxed structure of AgSn2As2.

```
AgSn2As2
1.0
-4.339 -3.000 1.504
1.907 -0.325 -5.147
2.560 -4.548 -1.687
As Sn Ag
2 2 1
direct
0.666 0.333 0.334
0.334 0.667 0.666
0.750 0.500 0.750
0.250 0.500 0.250
0.000 0.000 0.000
```

## Properties
crystal system = tetragonal
magnetic moment = 0.00 μB/atom
VASP energy = -4.241 eV/atom
density of states at the Fermi level = 2.52 states/eV/cell
DFT formation energy = 0.167 eV/atom
SG = I4/mmm (139)

Density functional theory data (GGA-PBEsol) for a relaxed structure of Ag3SnAs.

```
Ag3SnAs
1.0
-0.289 1.150 -4.730
4.402 -1.961 -0.746
-2.078 -4.314 -0.922
As Sn Ag
1 1 3
direct
0.000 0.000 0.000
0.500 0.500 0.500
0.000 0.500 0.000
0.000 0.000 0.500
0.500 0.000 0.000
```

## Properties
crystal system = cubic
magnetic moment = 0.00 μB/atom
VASP energy = -3.437 eV/atom
density of states at the Fermi level = 2.42 states/eV/cell
DFT formation energy = 0.423 eV/atom
SG = Pm-3m (221)

Density functional theory data (GGA-PBEsol) for a relaxed structure of SrAg2As.

```
SrAg2As
1.0
-1.874 -2.043 -4.085
4.628 -1.059 1.390
1.081 -4.488 1.749
Sr As Ag
1 1 2
direct
0.750 0.500 0.750
0.500 0.000 0.500
0.000 0.000 0.000
0.250 0.500 0.250
```

## Properties
crystal system = tetragonal
magnetic moment = 0.00 μB/atom
VASP energy = -3.629 eV/atom
density of states at the Fermi level = 1.69 states/eV/cell
DFT formation energy = -0.237 eV/atom
SG = I-4m2 (119)

Density functional theory data (GGA-PBEsol) for a relaxed structure of SrAgAs2.

```
SrAgAs2
1.0
-0.752 0.602 4.158
2.602 -3.249 0.941
2.758 4.340 -2.321
Sr As Ag
1 2 1
direct
0.500 0.500 0.000
0.000 0.000 0.000
0.750 0.250 0.500
0.250 0.750 0.500
```

## Properties
crystal system = tetragonal
magnetic moment = 0.00 μB/atom
VASP energy = -4.080 eV/atom
density of states at the Fermi level = 2.23 states/eV/cell
DFT formation energy = -0.239 eV/atom
SG = I-4m2 (119)

Density functional theory data (GGA-PBEsol) for a relaxed structure of SrAgAs.

```
SrAgAs
1.0
4.312 0.000 0.000
0.000 4.438 0.000
0.000 -2.219 3.844
Sr As Ag
1 1 1
direct
0.500 0.667 0.333
0.000 0.333 0.667
0.000 0.000 0.000
```

## Properties
crystal system = hexagonal
magnetic moment = 0.00 μB/atom
VASP energy = -4.175 eV/atom
density of states at the Fermi level = 0.43 states/eV/cell
DFT formation energy = -0.755 eV/atom
SG = P-6m2 (187)

Density functional theory data (GGA-PBEsol) for a relaxed structure of SrAg3As.

```
SrAg3As
1.0
5.352 0.000 0.000
0.000 5.352 0.000
0.000 0.000 5.352
Sr As Ag
1 1 3
direct
0.000 0.000 0.000
0.500 0.500 0.500
0.000 0.500 0.000
0.000 0.000 0.500
0.500 0.000 0.000
```

## Properties
crystal system = cubic
magnetic moment = 0.00 μB/atom
VASP energy = -1.986 eV/atom
density of states at the Fermi level = 3.84 states/eV/cell
DFT formation energy = 1.390 eV/atom
SG = Pm-3m (221)

Density functional theory data (GGA-PBEsol) for a relaxed structure of SrAg2As.

```
SrAg2As
1.0
4.322 0.000 0.000
0.000 4.322 0.000
0.000 0.000 4.649
Sr As Ag
1 1 2
direct
0.000 0.000 0.500
0.500 0.500 0.500
0.000 0.500 0.000
0.500 0.000 0.000
```

## Properties
crystal system = tetragonal
magnetic moment = 0.00 μB/atom
VASP energy = -3.585 eV/atom
density of states at the Fermi level = 1.71 states/eV/cell
DFT formation energy = -0.192 eV/atom
SG = P4/mmm (123)

Density functional theory data (GGA-PBEsol) for a relaxed structure of SrAg2As.

```
SrAg2As
1.0
-2.025 -2.267 -3.288
2.731 -3.235 0.549
-3.170 0.885 4.392
Sr As Ag
1 1 2
direct
0.000 0.500 0.000
0.500 0.000 0.000
0.742 0.742 0.484
0.258 0.258 0.516
```

## Properties
crystal system = orthorhombic
magnetic moment = 0.00 μB/atom
VASP energy = -3.617 eV/atom
density of states at the Fermi level = 1.60 states/eV/cell
DFT formation energy = -0.225 eV/atom
SG = Immm (71)

Question: VASP energy of number 5 (SrAgAs)?
Answer: -4.175 eV/atom

Question: VASP energy of number 6 (SrAg3As)?
Answer: -1.986 eV/atom

Question: density of states at the Fermi level of number 5 (SrAgAs)?
Answer: 0.43 states/eV/cell